No. 1
Sr2TmCu2O6 | PBE | optimized geometry

Summary:
- space group = R-3m, No. 166
- uncorrected formation energy (eV per atom) = -1.911

Cell lengths 5.9138, 5.9138, 6.6492 Å; angles 63.60, 63.60, 60.00 degrees
Each line ends with the local moment (μB).
Fractional positions:
O1 0.7771 0.2452 0.7326  0.25
O2 0.7548 0.2229 0.2674  0.25
Cu1 0.5791 0.5791 0.2626  0.67
O3 0.7548 0.7548 0.2674  0.25
Tm1 0.0000 0.0000 0.0000  0.03
O4 0.2229 0.7548 0.2674  0.25
Sr1 0.7938 0.7938 0.6185  0.00
O5 0.2452 0.2452 0.7326  0.25
Cu2 0.4209 0.4209 0.7374  0.67
O6 0.2452 0.7771 0.7326  0.25
Sr2 0.2062 0.2062 0.3815  0.00

No. 2
Sr2UCuO6 | PBE | optimized geometry

Summary:
- space group = C2/m, No. 12
- uncorrected formation energy (eV per atom) = -2.592

Cell lengths 5.6847, 5.6286, 6.1493 Å; angles 117.24, 119.05, 90.00 degrees
Each line ends with the local moment (μB).
Fractional positions:
U1 0.0000 0.5000 0.0000  0.13
O1 0.2044 0.1880 0.8914  0.07
O2 0.7956 0.8120 0.1086  0.07
O3 0.3100 0.7130 0.4260  0.01
Sr1 0.2247 0.2542 0.5085  0.00
Cu1 0.5000 0.0000 0.0000  0.56
O4 0.6900 0.2870 0.5740  0.01
O5 0.2044 0.7034 0.8914  0.07
Sr2 0.7753 0.7458 0.4915  0.00
O6 0.7956 0.2966 0.1086  0.07

No. 3
Sr3UCu2O9 | PBE | optimized geometry

Summary:
- space group = P-3m1, No. 164
- uncorrected formation energy (eV per atom) = -2.186

Cell lengths 5.6494, 5.6494, 7.1583 Å; angles 90.00, 90.00, 120.00 degrees
Fractional positions:
O1 0.1674 0.3347 0.3255
Sr1 0.6667 0.3333 0.2798
U1 0.0000 0.0000 0.5000
Sr2 0.3333 0.6667 0.7202
O2 0.0000 0.5000 0.0000
O3 0.8326 0.6653 0.6745
O4 0.5000 0.5000 0.0000
O5 0.1674 0.8326 0.3255
Cu1 0.3333 0.6667 0.1582
O6 0.8326 0.1674 0.6745
O7 0.6653 0.8326 0.3255
Sr3 0.0000 0.0000 0.0000
O8 0.3347 0.1674 0.6745
O9 0.5000 0.0000 0.0000
Cu2 0.6667 0.3333 0.8418

Number 1: DOS at the Fermi energy 4.15 states/eV/f.u., raw total energy -6.072 eV/atom. Number 2: DOS at the Fermi energy 0.33 states/eV/f.u., raw total energy -7.442 eV/atom. Number 3: DOS at the Fermi energy 2.81 states/eV/f.u., raw total energy -6.796 eV/atom.